Computed, not measured: a relaxed Li3Ce2HoS6 crystal at the GGA-PBE level of DFT.

formation energy (no corrections): -1759.4 meV/atom

Lattice parameters (Å, degrees): 6.933 12.033 6.583 90.00 110.33 90.00
Space group C2/m (No. 12)
Unique sites:
Li 0.000 0.000 0.000 [2 per cell]
Li 0.000 0.342 0.000 [4 per cell]
Ce 0.000 0.167 0.500 [4 per cell]
Ho 0.000 0.500 0.500 [2 per cell]
S 0.242 0.500 0.247 [4 per cell]
S 0.246 0.338 0.755 [8 per cell]



Computed, not measured: a relaxed RbSrYBr6 crystal at the GGA-PBE level of DFT.

formation energy (no corrections): -1960.2 meV/atom

Lattice parameters (Å, degrees): 7.7396 7.7396 14.6749 90.00 90.00 120.00
Space group P-31c (No. 163)
Unique sites:
Rb 0.0000 0.0000 0.0000 [2 per cell]
Sr 0.3333 0.6667 0.2500 [2 per cell]
Y 0.3333 0.6667 0.7500 [2 per cell]
Br 0.0242 0.3837 0.6381 [12 per cell]



Computed, not measured: a relaxed RbMg2GeOs crystal at the GGA-PBE level of DFT.

DFT formation energy: 0.0320 eV/atom

Lattice parameters (Å, degrees): 5.209 5.209 4.803 90.00 90.00 90.00
Space group P4/mmm (No. 123)
Unique sites:
Rb 0.000 0.000 0.000 [1 per cell]
Mg 0.000 0.500 0.500 [2 per cell]
Ge 0.500 0.500 0.000 [1 per cell]
Os 0.500 0.500 0.500 [1 per cell]



Computed, not measured: a relaxed Li2Ga4Au5 crystal at the GGA-PBE level of DFT.

DFT formation energy: -0.2231 eV/atom

Lattice parameters (Å, degrees): 11.045 5.958 6.780 90.00 112.81 90.00
Space group C2/m (No. 12)
Unique sites:
Li 0.162 0.000 0.281 [4 per cell]
Ga 0.071 0.500 0.387 [4 per cell]
Ga 0.250 0.000 0.760 [4 per cell]
Au 0.000 0.000 0.500 [2 per cell]
Au 0.102 0.245 0.914 [8 per cell]



Computed, not measured: a relaxed Ti5In2H4 crystal at the GGA-PBE level of DFT.

Lattice parameters (Å, degrees): 5.500 9.473 10.603 90.00 90.00 90.00
Space group Fmmm (No. 69)
Unique sites:
Ti 0.000 0.000 0.000 [4 per cell]
Ti 0.250 0.250 0.000 [8 per cell]
Ti 0.250 0.250 0.250 [8 per cell]
In 0.000 0.000 0.361 [8 per cell]
H 0.000 0.176 0.120 [16 per cell]



Computed, not measured: a relaxed InCo22B6 crystal at the GGA-PBE level of DFT.

DFT formation energy: -0.1044 eV/atom

Lattice parameters (Å, degrees): 10.504 10.504 10.504 90.00 90.00 90.00
Space group Fm-3m (No. 225)
Unique sites:
In 0.000 0.000 0.000 [4 per cell]
Co 0.000 0.173 0.173 [48 per cell]
Co 0.119 0.119 0.381 [32 per cell]
Co 0.250 0.250 0.250 [8 per cell]
B 0.000 0.000 0.278 [24 per cell]



Computed, not measured: a relaxed Zn5Cu4Ir crystal at the GGA-PBE level of DFT.

ΔE to the lowest computed polymorph: 240.1 meV/atom
DFT formation energy: 0.1318 eV/atom

Lattice parameters (Å, degrees): 7.517 7.517 5.257 90.00 90.00 90.00
Space group I4 (No. 79)
Unique sites:
Zn 0.000 0.000 0.000 [2 per cell]
Zn 0.065 0.676 0.274 [8 per cell]
Cu 0.114 0.750 0.749 [8 per cell]
Ir 0.000 0.000 0.463 [2 per cell]



Computed, not measured: a relaxed MoSe2 crystal at the GGA-PBE level of DFT.

formation energy (no corrections): 286.5 meV/atom

Lattice parameters (Å, degrees): 4.4601 4.4601 3.2629 90.00 90.00 120.00
Space group P-3m1 (No. 164)
Unique sites:
Mo 0.0000 0.0000 0.0000 [1 per cell]
Se 0.3333 0.6667 0.8166 [2 per cell]



VASP energy for every record listed, in sequence, given in eV/atom: -5.6721 -4.0881 -3.9688 -3.1615 -5.5029 -6.9710 -3.0297 -5.6469.